1.
Computed, not measured: La4PmSm2Dy after structural relaxation at the PBE level of DFT.

POSCAR file:
```
La4PmSm2Dy
1.0
5.2667 0.0000 0.0000
0.0000 5.0649 1.3042
0.0001 2.5300 11.1883
La Pm Sm Dy
4 1 2 1
direct
0.0000 0.7514 0.7485 La
0.0000 0.2486 0.2515 La
0.5000 0.7486 0.2517 La
0.5000 0.2514 0.7483 La
0.5000 0.5000 0.0000 Pm
0.0000 0.0000 0.0000 Sm
0.5000 0.0000 0.5000 Sm
0.0000 0.5000 0.5000 Dy
```

Computed properties:
magnetization: 0.00 μB per formula unit
uncorrected energy: -4.80 eV/atom
mass density: 6.88 g cm⁻³

2.
Computed, not measured: LaPm2Sm6Dy after structural relaxation at the PBE level of DFT.

POSCAR file:
```
LaPm2Sm6Dy
1.0
9.3930 -2.2276 -2.3117
0.7638 8.6630 -2.0715
0.7638 -2.3911 8.5803
La Pm Sm Dy
2 4 12 2
direct
0.2500 0.4041 0.5959 La
0.7500 0.5959 0.4041 La
0.4585 0.8112 0.7102 Pm
0.0415 0.2898 0.1888 Pm
0.5415 0.1888 0.2898 Pm
0.9585 0.7102 0.8112 Pm
0.0559 0.1195 0.7501 Sm
0.4441 0.2499 0.8805 Sm
0.9441 0.8805 0.2499 Sm
0.5559 0.7501 0.1195 Sm
0.3176 0.9724 0.4226 Sm
0.1824 0.5774 0.0276 Sm
0.6824 0.0276 0.5774 Sm
0.8176 0.4226 0.9724 Sm
0.1226 0.7073 0.4997 Sm
0.3774 0.5003 0.2927 Sm
0.8774 0.2927 0.5003 Sm
0.6226 0.4997 0.7073 Sm
0.2500 0.9794 0.0206 Dy
0.7500 0.0206 0.9794 Dy
```

Computed properties:
magnetization: 0.00 μB per formula unit
uncorrected energy: -4.61 eV/atom
mass density: 7.20 g cm⁻³

3.
Computed, not measured: La4Pm2SmDy2 after structural relaxation at the PBE level of DFT.

POSCAR file:
```
La4Pm2SmDy2
1.0
-1.3956 -3.3451 3.7478
-3.8968 -2.0678 -6.9233
7.4127 -3.3899 -0.2652
La Pm Sm Dy
4 2 1 2
direct
0.7765 0.5530 0.6690 La
0.2235 0.4470 0.3310 La
0.5544 0.1089 0.3294 La
0.4456 0.8911 0.6706 La
0.8879 0.7758 0.3297 Pm
0.1121 0.2242 0.6703 Pm
0.0000 0.0000 0.0000 Sm
0.3324 0.6647 0.0002 Dy
0.6676 0.3353 0.9998 Dy
```

Computed properties:
magnetization: 0.00 μB per formula unit
uncorrected energy: -4.77 eV/atom
mass density: 6.98 g cm⁻³

4.
Computed, not measured: La2Pm4SmDy after structural relaxation at the PBE level of DFT.

POSCAR file:
```
La2Pm4SmDy
1.0
5.1780 0.0000 0.0000
0.0000 5.0926 0.8610
0.0001 3.3845 11.1003
La Pm Sm Dy
2 4 1 1
direct
0.0000 0.0000 0.0000 La
0.5000 0.0000 0.5000 La
0.0000 0.7522 0.7485 Pm
0.0000 0.2478 0.2515 Pm
0.5000 0.7491 0.2508 Pm
0.5000 0.2509 0.7492 Pm
0.5000 0.5000 0.0000 Sm
0.0000 0.5000 0.5000 Dy
```

Computed properties:
magnetization: 0.00 μB per formula unit
uncorrected energy: -4.75 eV/atom
mass density: 7.00 g cm⁻³

The records above give, respectively, ΔE_f values of 16, 120, 24, 22 meV/atom.